# LaMg11Ag

A geometry-optimized LaMg11Ag structure (PBE, the Alexandria database).

```
LaMg11Ag
1.0
-5.6280 0.4106 -1.1857
-3.1317 -7.0592 -0.8608
-4.3289 0.0089 6.5295
La Mg Ag
1 11 1
Direct
0.0000 0.0000 0.0000 La
0.2944 0.2184 0.2102 Mg
0.7056 0.7816 0.7898 Mg
0.4954 0.7816 0.2102 Mg
0.5046 0.2184 0.7898 Mg
0.3548 0.6433 0.6521 Mg
0.6452 0.3567 0.3479 Mg
0.9931 0.3567 0.6521 Mg
0.0069 0.6433 0.3479 Mg
0.0000 0.5000 0.0000 Mg
0.5000 0.0000 0.5000 Mg
0.0000 0.0000 0.5000 Mg
0.5000 0.5000 0.0000 Ag
```

Output
crystal system: monoclinic
final energy: -2.05 eV/atom
energy of formation from the pure elements: -101 meV/atom